# 1
{
  "formula": "Ce5SnSe4",
  "functional": "PBE",
  "state": "optimized geometry",
  "lattice": [[5.449, 0.000, 2.628], [2.724, 6.752, 1.314], [-0.209, 0.000, 7.395]],
  "species": ["Ce", "Ce", "Ce", "Se", "Se", "Se", "Se", "Ce", "Ce", "Sn"],
  "fractional_positions": [[0.691, 0.207, 0.412], [0.311, 0.793, 0.588], [0.103, 0.588, 0.207], [0.605, 0.597, 0.195], [0.397, 0.403, 0.805], [0.800, 0.805, 0.597], [0.202, 0.195, 0.403], [0.501, 0.000, 0.000], [0.899, 0.412, 0.793], [0.001, 0.000, 0.000]],
  "e_form_raw_mev_per_atom": -1554,
  "spacegroup": "No. 87",
  "dos_at_fermi_per_ev_atom": 3.097
}

***

# 2
{
  "formula": "TlSn2Sb",
  "functional": "PBE",
  "state": "optimized geometry",
  "lattice": [[-0.477, 1.816, -3.876], [1.888, -1.758, -3.448], [-5.766, -4.256, -3.676]],
  "species": ["Sn", "Tl", "Sn", "Sb"],
  "fractional_positions": [[0.744, 0.744, 0.767], [0.500, 0.500, 0.500], [0.256, 0.256, 0.233], [0.000, 0.000, 0.000]],
  "e_above_lowest_polymorph_kj_per_mol_atoms": 2.2,
  "e_form_raw_mev_per_atom": 67,
  "spacegroup": "No. 166",
  "dos_at_fermi_per_ev_atom": 0.426
}